Model w:
# ScCd2Re (GGA-PBE, optimized geometry)
# M_tot = 0.000 μB/atom
# Fermi-level density of states = 5.68 states/eV/cell
data_ScCd2Re
_cell_length_a 4.0558
_cell_length_b 4.0729
_cell_length_c 9.0335
_cell_angle_alpha 90.00
_cell_angle_beta 90.00
_cell_angle_gamma 90.00
_space_group_name_H-M_alt 'I m m m'
_space_group_IT_number 71
_space_group_name_Hall '-I 2 2'
loop_
_atom_site_label
_atom_site_type_symbol
_atom_site_fract_x
_atom_site_fract_y
_atom_site_fract_z
Sc1 Sc 0.0000 0.0000 0.0000
Cd1 Cd 0.0000 0.5000 0.2498
Re1 Re 0.0000 0.0000 0.5000

Model x:
# ScCd2Re (GGA-PBE, optimized geometry)
# M_tot = 0.000 μB/atom
# Fermi-level density of states = 2.14 states/eV/cell
data_ScCd2Re
_cell_length_a 2.9169
_cell_length_b 4.2806
_cell_length_c 6.1174
_cell_angle_alpha 90.00
_cell_angle_beta 90.00
_cell_angle_gamma 90.00
_space_group_name_H-M_alt 'P m m 2'
_space_group_IT_number 25
_space_group_name_Hall 'P 2 -2'
loop_
_atom_site_label
_atom_site_type_symbol
_atom_site_fract_x
_atom_site_fract_y
_atom_site_fract_z
Sc1 Sc 0.0000 0.0000 0.0000
Cd1 Cd 0.0000 0.0000 0.5296
Cd2 Cd 0.5000 0.5000 0.2810
Re1 Re 0.5000 0.5000 0.7903

Model y:
# ScCd2Re (GGA-PBE, optimized geometry)
# M_tot = 0.101 μB/atom
# Fermi-level density of states = 6.56 states/eV/cell
data_ScCd2Re
_cell_length_a 4.1795
_cell_length_b 4.1795
_cell_length_c 8.6652
_cell_angle_alpha 90.00
_cell_angle_beta 90.00
_cell_angle_gamma 90.00
_space_group_name_H-M_alt 'I -4 m 2'
_space_group_IT_number 119
_space_group_name_Hall 'I -4 -2'
loop_
_atom_site_label
_atom_site_type_symbol
_atom_site_fract_x
_atom_site_fract_y
_atom_site_fract_z
Sc1 Sc 0.0000 0.0000 0.0000
Cd1 Cd 0.0000 0.0000 0.5000
Cd2 Cd 0.0000 0.5000 0.7500
Re1 Re 0.0000 0.5000 0.2500

Model z:
# ScCd2Re (GGA-PBE, optimized geometry)
# M_tot = 0.000 μB/atom
# Fermi-level density of states = 5.31 states/eV/cell
data_ScCd2Re
_cell_length_a 9.7639
_cell_length_b 2.8950
_cell_length_c 5.4322
_cell_angle_alpha 90.00
_cell_angle_beta 97.33
_cell_angle_gamma 90.00
_space_group_name_H-M_alt 'C 1 m 1'
_space_group_IT_number 8
_space_group_name_Hall 'C -2y'
loop_
_atom_site_label
_atom_site_type_symbol
_atom_site_fract_x
_atom_site_fract_y
_atom_site_fract_z
Sc1 Sc 0.0000 0.0000 0.0000
Cd1 Cd 0.0137 0.5000 0.5233
Cd2 Cd 0.2588 0.5000 0.2882
Re1 Re 0.2605 0.0000 0.7971

Which structure wins on stability? model w wins.

Model w:
# ScCd2Re (GGA-PBE, optimized geometry)
# M_tot = 0.000 μB/atom
# Fermi-level density of states = 6.07 states/eV/cell
data_ScCd2Re
_cell_length_a 3.4467
_cell_length_b 4.7721
_cell_length_c 9.3069
_cell_angle_alpha 90.00
_cell_angle_beta 90.00
_cell_angle_gamma 90.00
_space_group_name_H-M_alt 'I m m 2'
_space_group_IT_number 44
_space_group_name_Hall 'I 2 -2'
loop_
_atom_site_label
_atom_site_type_symbol
_atom_site_fract_x
_atom_site_fract_y
_atom_site_fract_z
Sc1 Sc 0.0000 0.0000 0.0000
Cd1 Cd 0.0000 0.0000 0.4736
Cd2 Cd 0.0000 0.5000 0.2272
Re1 Re 0.0000 0.5000 0.7267

Model x:
# ScCd2Re (GGA-PBE, optimized geometry)
# M_tot = 0.044 μB/atom
# Fermi-level density of states = 2.48 states/eV/cell
data_ScCd2Re
_cell_length_a 2.8726
_cell_length_b 4.5563
_cell_length_c 5.6947
_cell_angle_alpha 90.00
_cell_angle_beta 90.41
_cell_angle_gamma 90.00
_space_group_name_H-M_alt 'P 1 2/m 1'
_space_group_IT_number 10
_space_group_name_Hall '-P 2y'
loop_
_atom_site_label
_atom_site_type_symbol
_atom_site_fract_x
_atom_site_fract_y
_atom_site_fract_z
Sc1 Sc 0.0000 0.0000 0.0000
Cd1 Cd 0.4990 0.5000 0.7415
Re1 Re 0.0000 0.0000 0.5000

Which structure wins on stability? model x wins.

Model w:
# ScCd2Re (GGA-PBE, optimized geometry)
# M_tot = 0.138 μB/atom
# Fermi-level density of states = 4.27 states/eV/cell
data_ScCd2Re
_cell_length_a 2.8774
_cell_length_b 2.8774
_cell_length_c 9.1504
_cell_angle_alpha 90.00
_cell_angle_beta 90.00
_cell_angle_gamma 90.00
_space_group_name_H-M_alt 'P 4/m m m'
_space_group_IT_number 123
_space_group_name_Hall '-P 4 2'
loop_
_atom_site_label
_atom_site_type_symbol
_atom_site_fract_x
_atom_site_fract_y
_atom_site_fract_z
Sc1 Sc 0.0000 0.0000 0.0000
Cd1 Cd 0.5000 0.5000 0.2615
Re1 Re 0.0000 0.0000 0.5000

Model x:
# ScCd2Re (GGA-PBE, optimized geometry)
# M_tot = 0.000 μB/atom
# Fermi-level density of states = 4.68 states/eV/cell
data_ScCd2Re
_cell_length_a 5.6761
_cell_length_b 9.0601
_cell_length_c 2.9068
_cell_angle_alpha 90.00
_cell_angle_beta 90.00
_cell_angle_gamma 90.00
_space_group_name_H-M_alt 'C m m m'
_space_group_IT_number 65
_space_group_name_Hall '-C 2 2'
loop_
_atom_site_label
_atom_site_type_symbol
_atom_site_fract_x
_atom_site_fract_y
_atom_site_fract_z
Sc1 Sc 0.0000 0.0000 0.0000
Cd1 Cd 0.2500 0.2500 0.5000
Re1 Re 0.0000 0.5000 0.0000

Model y:
# ScCd2Re (GGA-PBE, optimized geometry)
# M_tot = 0.001 μB/atom
# Fermi-level density of states = 12.55 states/eV/cell
data_ScCd2Re
_cell_length_a 2.9451
_cell_length_b 2.9451
_cell_length_c 30.5404
_cell_angle_alpha 90.00
_cell_angle_beta 90.00
_cell_angle_gamma 120.00
_space_group_name_H-M_alt 'R -3 m'
_space_group_IT_number 166
_space_group_name_Hall '-R 3 2"'
loop_
_atom_site_label
_atom_site_type_symbol
_atom_site_fract_x
_atom_site_fract_y
_atom_site_fract_z
Sc1 Sc 0.0000 0.0000 0.0000
Cd1 Cd 0.0000 0.0000 0.2456
Re1 Re 0.0000 0.0000 0.5000

Which structure wins on stability? model x wins.

Model w:
# ScCd2Re (GGA-PBE, optimized geometry)
# M_tot = 0.000 μB/atom
# Fermi-level density of states = 5.51 states/eV/cell
data_ScCd2Re
_cell_length_a 3.4851
_cell_length_b 4.6751
_cell_length_c 9.4779
_cell_angle_alpha 90.00
_cell_angle_beta 90.00
_cell_angle_gamma 90.00
_space_group_name_H-M_alt 'C m m 2'
_space_group_IT_number 35
_space_group_name_Hall 'C 2 -2'
loop_
_atom_site_label
_atom_site_type_symbol
_atom_site_fract_x
_atom_site_fract_y
_atom_site_fract_z
Sc1 Sc 0.0000 0.0000 0.0000
Cd1 Cd 0.0000 0.0000 0.5397
Cd2 Cd 0.0000 0.5000 0.2702
Re1 Re 0.0000 0.5000 0.7836

Model x:
# ScCd2Re (GGA-PBE, optimized geometry)
# M_tot = 0.000 μB/atom
# Fermi-level density of states = 3.67 states/eV/cell
data_ScCd2Re
_cell_length_a 3.4100
_cell_length_b 3.4100
_cell_length_c 6.7248
_cell_angle_alpha 90.00
_cell_angle_beta 90.00
_cell_angle_gamma 90.00
_space_group_name_H-M_alt 'P 4 m m'
_space_group_IT_number 99
_space_group_name_Hall 'P 4 -2'
loop_
_atom_site_label
_atom_site_type_symbol
_atom_site_fract_x
_atom_site_fract_y
_atom_site_fract_z
Sc1 Sc 0.0000 0.0000 0.0000
Cd1 Cd 0.0000 0.0000 0.5533
Cd2 Cd 0.5000 0.5000 0.2877
Re1 Re 0.5000 0.5000 0.8051

Which structure wins on stability? model w wins.